w.
The following is a DFT calculation (GGA-PBE) of an optimized crystal structure of PmTmSb2.

Lattice parameters (Å, degrees): 5.718 5.718 3.348 90.00 90.00 90.00
Element x y z (fractional)
Pm: 0.000 0.000 0.000
Tm: 0.500 0.500 0.000
Sb: 0.000 0.500 0.500
Sb: 0.500 0.000 0.500

- crystal system = tetragonal
- Fermi-level density of states (states/eV/f.u.) = 2.04

---

x.
The following is a DFT calculation (GGA-PBE) of an optimized crystal structure of PmTmSb2.

Lattice parameters (Å, degrees): 5.402 5.402 5.402 60.00 60.00 60.00
Element x y z (fractional)
Pm: 0.000 0.000 0.000
Tm: 0.500 0.500 0.500
Sb: 0.250 0.250 0.250
Sb: 0.750 0.750 0.750

- crystal system = cubic
- Fermi-level density of states (states/eV/f.u.) = 1.59

---

Which of them is least stable? Easy: x.

---

w.
The following is a DFT calculation (GGA-PBE) of an optimized crystal structure of PmTm3Sb3.

Lattice parameters (Å, degrees): 8.002 8.002 8.002 68.32 68.32 68.32
Element x y z (fractional)
Pm: 0.165 0.165 0.165
Pm: 0.835 0.835 0.835
Tm: 0.154 0.681 0.415
Tm: 0.319 0.585 0.846
Tm: 0.415 0.154 0.681
Tm: 0.585 0.846 0.319
Tm: 0.681 0.415 0.154
Tm: 0.846 0.319 0.585
Sb: 0.033 0.420 0.796
Sb: 0.204 0.967 0.580
Sb: 0.420 0.796 0.033
Sb: 0.580 0.204 0.967
Sb: 0.796 0.033 0.420
Sb: 0.967 0.580 0.204

- crystal system = trigonal
- Fermi-level density of states (states/eV/f.u.) = 4.50

---

x.
The following is a DFT calculation (GGA-PBE) of an optimized crystal structure of PmTm3Sb3.

Lattice parameters (Å, degrees): 9.173 9.173 9.173 90.00 90.00 90.00
Element x y z (fractional)
Pm: 0.069 0.431 0.569
Pm: 0.431 0.569 0.069
Pm: 0.569 0.069 0.431
Pm: 0.931 0.931 0.931
Tm: 0.078 0.578 0.922
Tm: 0.178 0.822 0.322
Tm: 0.180 0.180 0.180
Tm: 0.320 0.820 0.680
Tm: 0.322 0.178 0.822
Tm: 0.422 0.422 0.422
Tm: 0.578 0.922 0.078
Tm: 0.678 0.678 0.678
Tm: 0.680 0.320 0.820
Tm: 0.820 0.680 0.320
Tm: 0.822 0.322 0.178
Tm: 0.922 0.078 0.578
Sb: 0.002 0.258 0.879
Sb: 0.121 0.502 0.242
Sb: 0.242 0.121 0.502
Sb: 0.258 0.879 0.002
Sb: 0.379 0.498 0.742
Sb: 0.498 0.742 0.379
Sb: 0.502 0.242 0.121
Sb: 0.621 0.998 0.758
Sb: 0.742 0.379 0.498
Sb: 0.758 0.621 0.998
Sb: 0.879 0.002 0.258
Sb: 0.998 0.758 0.621

- crystal system = cubic
- Fermi-level density of states (states/eV/f.u.) = 6.80

---

Which of them is least stable? Easy: w.

---

w.
The following is a DFT calculation (GGA-PBE) of an optimized crystal structure of Pm3YSb3.

Lattice parameters (Å, degrees): 9.393 9.393 9.393 90.00 90.00 90.00
Element x y z (fractional)
Pm: 0.068 0.432 0.568
Pm: 0.178 0.822 0.322
Pm: 0.179 0.179 0.179
Pm: 0.321 0.821 0.679
Pm: 0.322 0.178 0.822
Pm: 0.432 0.568 0.068
Pm: 0.568 0.068 0.432
Pm: 0.678 0.678 0.678
Pm: 0.679 0.321 0.821
Pm: 0.821 0.679 0.321
Pm: 0.822 0.322 0.178
Pm: 0.932 0.932 0.932
Y: 0.072 0.572 0.928
Y: 0.428 0.428 0.428
Y: 0.572 0.928 0.072
Y: 0.928 0.072 0.572
Sb: 0.001 0.254 0.873
Sb: 0.127 0.501 0.246
Sb: 0.246 0.127 0.501
Sb: 0.254 0.873 0.001
Sb: 0.373 0.499 0.746
Sb: 0.499 0.746 0.373
Sb: 0.501 0.246 0.127
Sb: 0.627 0.999 0.754
Sb: 0.746 0.373 0.499
Sb: 0.754 0.627 0.999
Sb: 0.873 0.001 0.254
Sb: 0.999 0.754 0.627

- crystal system = cubic
- Fermi-level density of states (states/eV/f.u.) = 7.08

---

x.
The following is a DFT calculation (GGA-PBE) of an optimized crystal structure of Pm3YSb3.

Lattice parameters (Å, degrees): 8.200 8.200 8.200 67.84 67.84 67.84
Element x y z (fractional)
Pm: 0.092 0.348 0.821
Pm: 0.179 0.908 0.652
Pm: 0.348 0.821 0.092
Pm: 0.652 0.179 0.908
Pm: 0.821 0.092 0.348
Pm: 0.908 0.652 0.179
Y: 0.333 0.333 0.333
Y: 0.667 0.667 0.667
Sb: 0.074 0.695 0.468
Sb: 0.305 0.532 0.926
Sb: 0.468 0.074 0.695
Sb: 0.532 0.926 0.305
Sb: 0.695 0.468 0.074
Sb: 0.926 0.305 0.532

- crystal system = trigonal
- Fermi-level density of states (states/eV/f.u.) = 4.77

---

Which of them is least stable? Easy: x.

---

w.
The following is a DFT calculation (GGA-PBE) of an optimized crystal structure of PmZrSb2.

Lattice parameters (Å, degrees): 5.270 5.270 5.270 60.00 60.00 60.00
Element x y z (fractional)
Pm: 0.000 0.000 0.000
Zr: 0.500 0.500 0.500
Sb: 0.250 0.250 0.250
Sb: 0.750 0.750 0.750

- crystal system = cubic
- Fermi-level density of states (states/eV/f.u.) = 3.70

---

x.
The following is a DFT calculation (GGA-PBE) of an optimized crystal structure of PmZrSb2.

Lattice parameters (Å, degrees): 3.633 3.633 7.760 90.00 90.00 90.00
Element x y z (fractional)
Pm: 0.000 0.000 0.000
Zr: 0.000 0.000 0.500
Sb: 0.500 0.500 0.277
Sb: 0.500 0.500 0.723

- crystal system = tetragonal
- Fermi-level density of states (states/eV/f.u.) = 4.65

---

y.
The following is a DFT calculation (GGA-PBE) of an optimized crystal structure of PmZrSb2.

Lattice parameters (Å, degrees): 7.517 7.517 7.517 33.11 33.11 33.11
Element x y z (fractional)
Pm: 0.000 0.000 0.000
Zr: 0.500 0.500 0.500
Sb: 0.243 0.243 0.243
Sb: 0.757 0.757 0.757

- crystal system = trigonal
- Fermi-level density of states (states/eV/f.u.) = 2.11

---

Which of them is least stable? Easy: w.

---

w.
The following is a DFT calculation (GGA-PBE) of an optimized crystal structure of PmSc2.

Lattice parameters (Å, degrees): 5.332 5.332 6.683 90.00 90.00 119.99
Element x y z (fractional)
Pm: 0.167 0.833 0.750
Pm: 0.833 0.167 0.250
Sc: 0.166 0.834 0.250
Sc: 0.500 0.500 0.000
Sc: 0.500 0.500 0.500
Sc: 0.834 0.166 0.750

- crystal system = orthorhombic
- Fermi-level density of states (states/eV/f.u.) = 5.99

---

x.
The following is a DFT calculation (GGA-PBE) of an optimized crystal structure of PmSc2.

Lattice parameters (Å, degrees): 5.379 5.379 3.299 90.07 90.07 60.01
Element x y z (fractional)
Pm: 0.000 0.000 0.000
Sc: 0.333 0.333 0.501
Sc: 0.667 0.667 0.499

- crystal system = monoclinic
- Fermi-level density of states (states/eV/f.u.) = 5.47

---

y.
The following is a DFT calculation (GGA-PBE) of an optimized crystal structure of PmSc2.

Lattice parameters (Å, degrees): 6.341 6.341 6.341 60.00 60.00 60.00
Element x y z (fractional)
Pm: 0.125 0.125 0.125
Pm: 0.875 0.875 0.875
Sc: 0.000 0.500 0.500
Sc: 0.500 0.000 0.500
Sc: 0.500 0.500 0.000
Sc: 0.500 0.500 0.500

- crystal system = cubic
- Fermi-level density of states (states/eV/f.u.) = 6.05

---

Which of them is least stable? Easy: y.

---

w.
The following is a DFT calculation (GGA-PBE) of an optimized crystal structure of PmSc4.

Lattice parameters (Å, degrees): 5.763 5.763 5.763 99.77 99.77 131.35
Element x y z (fractional)
Pm: 0.000 0.000 0.000
Sc: 0.198 0.597 0.795
Sc: 0.403 0.198 0.601
Sc: 0.597 0.802 0.399
Sc: 0.802 0.403 0.205

- crystal system = tetragonal
- Fermi-level density of states (states/eV/f.u.) = 8.66

---

x.
The following is a DFT calculation (GGA-PBE) of an optimized crystal structure of PmSc4.

Lattice parameters (Å, degrees): 5.198 5.198 5.198 90.00 90.00 90.00
Element x y z (fractional)
Pm: 0.000 0.000 0.000
Sc: 0.000 0.000 0.500
Sc: 0.000 0.500 0.000
Sc: 0.500 0.000 0.000
Sc: 0.500 0.500 0.500

- crystal system = cubic
- Fermi-level density of states (states/eV/f.u.) = 6.94

---

y.
The following is a DFT calculation (GGA-PBE) of an optimized crystal structure of PmSc4.

Lattice parameters (Å, degrees): 6.656 8.600 4.997 90.00 90.00 90.00
Element x y z (fractional)
Pm: 0.000 0.000 0.000
Pm: 0.500 0.000 0.500
Sc: 0.000 0.388 0.250
Sc: 0.000 0.612 0.750
Sc: 0.250 0.298 0.750
Sc: 0.250 0.702 0.250
Sc: 0.500 0.388 0.250
Sc: 0.500 0.612 0.750
Sc: 0.750 0.298 0.750
Sc: 0.750 0.702 0.250

- crystal system = orthorhombic
- Fermi-level density of states (states/eV/f.u.) = 8.05

---

Which of them is least stable? Easy: x.

---

w.
The following is a DFT calculation (GGA-PBE) of an optimized crystal structure of Pm2Sc.

Lattice parameters (Å, degrees): 6.168 5.615 10.782 90.00 90.00 90.00
Element x y z (fractional)
Pm: 0.163 0.250 0.170
Pm: 0.173 0.250 0.502
Pm: 0.327 0.750 0.002
Pm: 0.337 0.750 0.670
Pm: 0.663 0.250 0.330
Pm: 0.673 0.250 0.998
Pm: 0.827 0.750 0.498
Pm: 0.837 0.750 0.830
Sc: 0.168 0.250 0.828
Sc: 0.332 0.750 0.328
Sc: 0.668 0.250 0.672
Sc: 0.832 0.750 0.172

- crystal system = orthorhombic
- Fermi-level density of states (states/eV/f.u.) = 4.96

---

x.
The following is a DFT calculation (GGA-PBE) of an optimized crystal structure of Pm2Sc.

Lattice parameters (Å, degrees): 6.500 6.500 6.500 60.00 60.00 60.00
Element x y z (fractional)
Pm: 0.000 0.000 0.000
Pm: 0.000 0.000 0.500
Pm: 0.000 0.500 0.000
Pm: 0.500 0.000 0.000
Sc: 0.375 0.375 0.375
Sc: 0.625 0.625 0.625

- crystal system = cubic
- Fermi-level density of states (states/eV/f.u.) = 5.85

---

Which of them is least stable? Easy: x.

---

w.
The following is a DFT calculation (GGA-PBE) of an optimized crystal structure of Pm5Sc.

Lattice parameters (Å, degrees): 9.481 9.481 6.176 108.70 108.70 21.89
Element x y z (fractional)
Pm: 0.000 0.000 0.000
Pm: 0.162 0.162 0.496
Pm: 0.335 0.335 0.002
Pm: 0.665 0.665 0.998
Pm: 0.838 0.838 0.504
Sc: 0.500 0.500 0.500

- crystal system = monoclinic
- Fermi-level density of states (states/eV/f.u.) = 8.74

---

x.
The following is a DFT calculation (GGA-PBE) of an optimized crystal structure of Pm5Sc.

Lattice parameters (Å, degrees): 6.296 6.296 5.935 90.00 90.00 123.74
Element x y z (fractional)
Pm: 0.000 0.000 0.000
Pm: 0.162 0.838 0.500
Pm: 0.341 0.659 0.000
Pm: 0.659 0.341 0.000
Pm: 0.838 0.162 0.500
Sc: 0.500 0.500 0.500

- crystal system = orthorhombic
- Fermi-level density of states (states/eV/f.u.) = 11.66

---

Which of them is least stable? Easy: x.